VASP calculation (GGA-PBEsol) on crystalline LaZr2As at its relaxed geometry.

Values from the calculation:
DFT total energy: -7.4717 eV/atom
mass density: 7.09 g/cm³
formation energy from the elements: -0.31 eV/atom
D(E_F): 1.242 states/eV per atom

a = 3.2760 Å, b = 3.2760 Å, c = 9.0490 Å
α = 90.00°, β = 90.00°, γ = 107.07°
Positions (direct):
La (0.0000, 0.0000, 0.0000)
Zr (0.5000, 0.5000, 0.3026)
Zr (0.5000, 0.5000, 0.6974)
As (0.0000, 0.0000, 0.5000)